Entry 1:
# MgNi2W, optimized geometry, DFT PBE
data_MgNi2W
_chemical_formula_sum 'Mg1 Ni2 W1'
_symmetry_space_group_name_H-M 'P 4 m m'
_symmetry_Int_Tables_number 99
_symmetry_space_group_name_Hall 'P 4 -2'
_cell_length_a 2.9868
_cell_length_b 2.9868
_cell_length_c 6.2830
_cell_angle_alpha 90.00
_cell_angle_beta 90.00
_cell_angle_gamma 90.00
loop_
_atom_site_label
_atom_site_fract_x
_atom_site_fract_y
_atom_site_fract_z
Mg1 0.0000 0.0000 0.0000
Ni1 0.0000 0.0000 0.4577
Ni2 0.5000 0.5000 0.2534
W1 0.5000 0.5000 0.6733
# Energy of formation = 66 kJ/mol of formula units
# Raw total energy = -6.36 eV per atom
# Size of the total moment = 0.00 μB/f.u.

=====

Entry 2:
# MgNi2W, optimized geometry, DFT PBE
data_MgNi2W
_chemical_formula_sum 'Mg2 Ni4 W2'
_symmetry_space_group_name_H-M 'I m m 2'
_symmetry_Int_Tables_number 44
_symmetry_space_group_name_Hall 'I 2 -2'
_cell_length_a 2.6762
_cell_length_b 4.3950
_cell_length_c 9.4500
_cell_angle_alpha 90.00
_cell_angle_beta 90.00
_cell_angle_gamma 90.00
loop_
_atom_site_label
_atom_site_fract_x
_atom_site_fract_y
_atom_site_fract_z
Mg1 0.0000 0.0000 0.0000
Ni1 0.0000 0.0000 0.4842
Ni2 0.0000 0.5000 0.7660
W1 0.0000 0.5000 0.2132
# Energy of formation = 43 kJ/mol of formula units
# Raw total energy = -6.42 eV per atom
# Size of the total moment = 0.00 μB/f.u.

=====

Entry 3:
# MgNiW2, optimized geometry, DFT PBE
data_MgNiW2
_chemical_formula_sum 'Mg2 Ni2 W4'
_symmetry_space_group_name_H-M 'C 1 m 1'
_symmetry_Int_Tables_number 8
_symmetry_space_group_name_Hall 'C -2y'
_cell_length_a 9.1595
_cell_length_b 2.6691
_cell_length_c 5.0700
_cell_angle_alpha 90.00
_cell_angle_beta 98.18
_cell_angle_gamma 90.00
loop_
_atom_site_label
_atom_site_fract_x
_atom_site_fract_y
_atom_site_fract_z
Mg1 0.0000 0.0000 0.0000
Ni1 0.2512 0.0000 0.7947
W1 0.0284 0.5000 0.5150
W2 0.2652 0.5000 0.2800
# Energy of formation = 137 kJ/mol of formula units
# Raw total energy = -7.97 eV per atom
# Size of the total moment = 0.00 μB/f.u.

=====

Entry 4:
# MgNi2W, optimized geometry, DFT PBE
data_MgNi2W
_chemical_formula_sum 'Mg2 Ni4 W2'
_symmetry_space_group_name_H-M 'C 1 2/m 1'
_symmetry_Int_Tables_number 12
_symmetry_space_group_name_Hall '-C 2y'
_cell_length_a 8.3331
_cell_length_b 2.6618
_cell_length_c 5.2220
_cell_angle_alpha 90.00
_cell_angle_beta 96.53
_cell_angle_gamma 90.00
loop_
_atom_site_label
_atom_site_fract_x
_atom_site_fract_y
_atom_site_fract_z
Mg1 0.0000 0.0000 0.0000
Ni1 0.2490 0.0000 0.7151
W1 0.0000 0.5000 0.5000
# Energy of formation = 74 kJ/mol of formula units
# Raw total energy = -6.34 eV per atom
# Size of the total moment = 0.00 μB/f.u.

=====

Entry 5:
# MgNiW2, optimized geometry, DFT PBE
data_MgNiW2
_chemical_formula_sum 'Mg2 Ni2 W4'
_symmetry_space_group_name_H-M 'C m m 2'
_symmetry_Int_Tables_number 35
_symmetry_space_group_name_Hall 'C 2 -2'
_cell_length_a 3.2828
_cell_length_b 4.3442
_cell_length_c 8.6069
_cell_angle_alpha 90.00
_cell_angle_beta 90.00
_cell_angle_gamma 90.00
loop_
_atom_site_label
_atom_site_fract_x
_atom_site_fract_y
_atom_site_fract_z
Mg1 0.0000 0.0000 0.0000
Ni1 0.0000 0.5000 0.2360
W1 0.0000 0.0000 0.4579
W2 0.0000 0.5000 0.7190
# Energy of formation = 52 kJ/mol of formula units
# Raw total energy = -8.19 eV per atom
# Size of the total moment = 0.00 μB/f.u.

=====

Entry 6:
# MgNiW2, optimized geometry, DFT PBE
data_MgNiW2
_chemical_formula_sum 'Mg1 Ni1 W2'
_symmetry_space_group_name_H-M 'P 1 2/m 1'
_symmetry_Int_Tables_number 10
_symmetry_space_group_name_Hall '-P 2y'
_cell_length_a 2.6692
_cell_length_b 4.5356
_cell_length_c 5.1644
_cell_angle_alpha 90.00
_cell_angle_beta 103.23
_cell_angle_gamma 90.00
loop_
_atom_site_label
_atom_site_fract_x
_atom_site_fract_y
_atom_site_fract_z
Mg1 0.0000 0.0000 0.0000
Ni1 0.5000 0.0000 0.5000
W1 0.2659 0.5000 0.7456
# Energy of formation = 132 kJ/mol of formula units
# Raw total energy = -7.98 eV per atom
# Size of the total moment = 0.00 μB/f.u.

=====

Entry 7:
# MgNi3W, optimized geometry, DFT PBE
data_MgNi3W
_chemical_formula_sum 'Mg1 Ni3 W1'
_symmetry_space_group_name_H-M 'P m -3 m'
_symmetry_Int_Tables_number 221
_symmetry_space_group_name_Hall '-P 4 2 3'
_cell_length_a 4.5380
_cell_length_b 4.5380
_cell_length_c 4.5380
_cell_angle_alpha 90.00
_cell_angle_beta 90.00
_cell_angle_gamma 90.00
loop_
_atom_site_label
_atom_site_fract_x
_atom_site_fract_y
_atom_site_fract_z
Mg1 0.0000 0.0000 0.0000
Ni1 0.0000 0.5000 0.5000
W1 0.5000 0.5000 0.5000
# Energy of formation = 507 kJ/mol of formula units
# Raw total energy = -5.33 eV per atom
# Excess energy over the best structure of this formula in the dataset = 0.0 meV/atom
# Size of the total moment = 0.00 μB/f.u.

=====

Entry 8:
# MgNiW2, optimized geometry, DFT PBE
data_MgNiW2
_chemical_formula_sum 'Mg2 Ni2 W4'
_symmetry_space_group_name_H-M 'I m m 2'
_symmetry_Int_Tables_number 44
_symmetry_space_group_name_Hall 'I 2 -2'
_cell_length_a 3.1629
_cell_length_b 4.6080
_cell_length_c 8.4119
_cell_angle_alpha 90.00
_cell_angle_beta 90.00
_cell_angle_gamma 90.00
loop_
_atom_site_label
_atom_site_fract_x
_atom_site_fract_y
_atom_site_fract_z
Mg1 0.0000 0.0000 0.0000
Ni1 0.0000 0.5000 0.7416
W1 0.0000 0.0000 0.4759
W2 0.0000 0.5000 0.2174
# Energy of formation = 145 kJ/mol of formula units
# Raw total energy = -7.94 eV per atom
# Size of the total moment = 0.00 μB/f.u.

=====

Entry 9:
# MgNiW2, optimized geometry, DFT PBE
data_MgNiW2
_chemical_formula_sum 'Mg3 Ni3 W6'
_symmetry_space_group_name_H-M 'R -3 m'
_symmetry_Int_Tables_number 166
_symmetry_space_group_name_Hall '-R 3 2"'
_cell_length_a 2.7762
_cell_length_b 2.7762
_cell_length_c 27.9243
_cell_angle_alpha 90.00
_cell_angle_beta 90.00
_cell_angle_gamma 120.00
loop_
_atom_site_label
_atom_site_fract_x
_atom_site_fract_y
_atom_site_fract_z
Mg1 0.0000 0.0000 0.0000
Ni1 0.0000 0.0000 0.5000
W1 0.0000 0.0000 0.2428
# Energy of formation = 155 kJ/mol of formula units
# Raw total energy = -7.92 eV per atom
# Size of the total moment = 0.00 μB/f.u.

=====

Entry 10:
# MgNi2W, optimized geometry, DFT PBE
data_MgNi2W
_chemical_formula_sum 'Mg1 Ni2 W1'
_symmetry_space_group_name_H-M 'P m m 2'
_symmetry_Int_Tables_number 25
_symmetry_space_group_name_Hall 'P 2 -2'
_cell_length_a 2.6634
_cell_length_b 3.9426
_cell_length_c 5.2889
_cell_angle_alpha 90.00
_cell_angle_beta 90.00
_cell_angle_gamma 90.00
loop_
_atom_site_label
_atom_site_fract_x
_atom_site_fract_y
_atom_site_fract_z
Mg1 0.0000 0.0000 0.0000
Ni1 0.0000 0.0000 0.4823
Ni2 0.5000 0.5000 0.2019
W1 0.5000 0.5000 0.6728
# Energy of formation = 68 kJ/mol of formula units
# Raw total energy = -6.35 eV per atom
# Size of the total moment = 0.00 μB/f.u.

=====

Entry 11:
# MgNi2W, optimized geometry, DFT PBE
data_MgNi2W
_chemical_formula_sum 'Mg4 Ni8 W4'
_symmetry_space_group_name_H-M 'F -4 3 m'
_symmetry_Int_Tables_number 216
_symmetry_space_group_name_Hall 'F -4 2 3'
_cell_length_a 5.9756
_cell_length_b 5.9756
_cell_length_c 5.9756
_cell_angle_alpha 90.00
_cell_angle_beta 90.00
_cell_angle_gamma 90.00
loop_
_atom_site_label
_atom_site_fract_x
_atom_site_fract_y
_atom_site_fract_z
Mg1 0.0000 0.0000 0.0000
Ni1 0.0000 0.0000 0.5000
Ni2 0.2500 0.2500 0.7500
W1 0.2500 0.2500 0.2500
# Energy of formation = 131 kJ/mol of formula units
# Raw total energy = -6.19 eV per atom
# Size of the total moment = 0.00 μB/f.u.

=====

Entry 12:
# MgNiW2, optimized geometry, DFT PBE
data_MgNiW2
_chemical_formula_sum 'Mg1 Ni1 W2'
_symmetry_space_group_name_H-M 'P m m m'
_symmetry_Int_Tables_number 47
_symmetry_space_group_name_Hall '-P 2 2'
_cell_length_a 3.1875
_cell_length_b 4.1912
_cell_length_c 4.5570
_cell_angle_alpha 90.00
_cell_angle_beta 90.00
_cell_angle_gamma 90.00
loop_
_atom_site_label
_atom_site_fract_x
_atom_site_fract_y
_atom_site_fract_z
Mg1 0.0000 0.0000 0.0000
Ni1 0.5000 0.5000 0.0000
W1 0.0000 0.5000 0.5000
W2 0.5000 0.0000 0.5000
# Energy of formation = 114 kJ/mol of formula units
# Raw total energy = -8.02 eV per atom
# Size of the total moment = 0.00 μB/f.u.